Entry from Alexandria: an optimized crystal structure of Ca2NbMoO6 (PBE+U).

a b c (Å): 4.2797 5.7257 5.7257
angles (deg): 90.00 90.00 90.00
Element x y z (fractional)
Ca1 0.0213 0.5000 0.0000
Ca2 0.0213 0.0000 0.5000
Nb1 0.6097 0.0000 0.0000
Mo1 0.6610 0.5000 0.5000
O1 0.6998 0.2392 0.2392
O2 0.6998 0.2392 0.7608
O3 0.1620 0.5000 0.5000
O4 0.1722 0.0000 0.0000
O5 0.6998 0.7608 0.7608
O6 0.6998 0.7608 0.2392

Summary:
Calculated total energy, eV per atom: -7.576
Magnetization, Bohr magnetons per cell: 3.00
Space-group type: P4mm, No. 99